This record from Alexandria describes Sr5Pr3Se8 after structural relaxation. The functional is PBE.

Cell: 8.7656 8.7656 8.7656 Å, 59.47 59.47 59.47°
Sites, in units of the cell vectors:
Sr: 0.0000 0.0000 0.0000
Sr: 0.0000 0.5000 0.5000
Sr: 0.5000 0.0000 0.5000
Sr: 0.5000 0.5000 0.0000
Sr: 0.5000 0.5000 0.5000
Pr: 0.0000 0.0000 0.5000
Pr: 0.0000 0.5000 0.0000
Pr: 0.5000 0.0000 0.0000
Se: 0.2441 0.7501 0.7501
Se: 0.2477 0.2477 0.2477
Se: 0.2499 0.2499 0.7559
Se: 0.2499 0.7559 0.2499
Se: 0.7501 0.2441 0.7501
Se: 0.7501 0.7501 0.2441
Se: 0.7523 0.7523 0.7523
Se: 0.7559 0.2499 0.2499

Output
**Density of states at the Fermi level**: 5.0 states/eV per cell
**Formation energy without anion corrections**: -1.95 eV/atom
**E**: -5.118 eV per atom
**Symmetry**: R-3m, No. 166

---

This record from Alexandria describes Ac6SnN4 after structural relaxation. The functional is PBE.

Cell: 6.9164 6.9164 20.9804 Å, 90.00 90.00 146.27°
Sites, in units of the cell vectors:
Ac: 0.0000 0.0000 0.0000
Ac: 0.0000 0.0000 0.5000
Ac: 0.1335 0.8665 0.7500
Ac: 0.2780 0.7220 0.0771
Ac: 0.2780 0.7220 0.4229
Ac: 0.4581 0.5419 0.6440
Ac: 0.4581 0.5419 0.8560
Ac: 0.5419 0.4581 0.1440
Ac: 0.5419 0.4581 0.3560
Ac: 0.7220 0.2780 0.5771
Ac: 0.7220 0.2780 0.9229
Ac: 0.8665 0.1335 0.2500
Sn: 0.1662 0.8338 0.2500
Sn: 0.8338 0.1662 0.7500
N: 0.0807 0.9193 0.6215
N: 0.0807 0.9193 0.8785
N: 0.3570 0.6430 0.5375
N: 0.3570 0.6430 0.9625
N: 0.6430 0.3570 0.0375
N: 0.6430 0.3570 0.4625
N: 0.9193 0.0807 0.1215
N: 0.9193 0.0807 0.3785

Output
**Density of states at the Fermi level**: 9.5 states/eV per cell
**Formation energy without anion corrections**: -0.91 eV/atom
**E**: -6.538 eV per atom
**Symmetry**: Cmcm, No. 63

---

This record from Alexandria describes RbS3I after structural relaxation. The functional is PBE.

Cell: 9.1370 9.7216 10.7189 Å, 90.00 116.03 90.00°
Sites, in units of the cell vectors:
Rb: 0.1329 0.0174 0.2980
Rb: 0.1329 0.4826 0.7980
Rb: 0.8671 0.5174 0.2020
Rb: 0.8671 0.9826 0.7020
S: 0.2756 0.1027 0.0428
S: 0.2756 0.3973 0.5428
S: 0.4744 0.2113 0.1285
S: 0.4744 0.2887 0.6285
S: 0.4759 0.6742 0.9997
S: 0.4759 0.8258 0.4997
S: 0.5241 0.1742 0.5003
S: 0.5241 0.3258 0.0003
S: 0.5256 0.7113 0.3715
S: 0.5256 0.7887 0.8715
S: 0.7244 0.6027 0.4572
S: 0.7244 0.8973 0.9572
I: 0.0402 0.7490 0.5132
I: 0.0402 0.7510 0.0132
I: 0.9598 0.2490 0.9868
I: 0.9598 0.2510 0.4868

Output
**Formation energy without anion corrections**: -0.42 eV/atom
**E**: -3.398 eV per atom
**Polymorph energy (0 for the lowest one)**: 0 meV/atom
**Symmetry**: P2_1/c, No. 14

---

This record from Alexandria describes ZnCdIr2Ru after structural relaxation. The functional is PBE.

Cell: 4.6845 4.6845 5.0966 Å, 90.00 90.00 90.00°
Sites, in units of the cell vectors:
Zn: 0.0000 0.0000 0.0000
Cd: 0.5000 0.5000 0.0000
Ir: 0.0000 0.5000 0.5000
Ir: 0.5000 0.0000 0.5000
Ru: 0.5000 0.5000 0.5000

Output
**Density of states at the Fermi level**: 4.2 states/eV per cell
**E**: -4.502 eV per atom
**Symmetry**: P4/mmm, No. 123

---

This record from Alexandria describes Tb5SiSe4 after structural relaxation. The functional is PBE.

Cell: 7.1342 7.1342 7.1342 Å, 99.48 99.48 132.12°
Sites, in units of the cell vectors:
Tb: 0.0000 0.0000 0.0000
Tb: 0.2113 0.4037 0.6150
Tb: 0.4037 0.7887 0.1924
Tb: 0.5963 0.2113 0.8076
Tb: 0.7887 0.5963 0.3850
Si: 0.5000 0.5000 0.0000
Se: 0.0974 0.6977 0.7951
Se: 0.3023 0.0974 0.3997
Se: 0.6977 0.9026 0.6003
Se: 0.9026 0.3023 0.2049

Output
**Density of states at the Fermi level**: 4.6 states/eV per cell
**Formation energy without anion corrections**: -1.65 eV/atom
**E**: -5.898 eV per atom
**Symmetry**: I4/m, No. 87

---

This record from Alexandria describes TaTiBr2 after structural relaxation. The functional is PBE.

Cell: 4.6659 4.6659 4.6659 Å, 60.00 60.00 60.00°
Sites, in units of the cell vectors:
Ta: 0.0000 0.0000 0.0000
Ti: 0.5000 0.5000 0.5000
Br: 0.2500 0.2500 0.2500
Br: 0.7500 0.7500 0.7500

Output
**Density of states at the Fermi level**: 4.5 states/eV per cell
**Formation energy without anion corrections**: 0.54 eV/atom
**E**: -5.235 eV per atom
**Polymorph energy (0 for the lowest one)**: 571 meV/atom
**Symmetry**: Fm-3m, No. 225

---

This record from Alexandria describes CsHgF after structural relaxation. The functional is PBE.

Cell: 4.6381 4.6381 6.5507 Å, 90.00 90.00 120.00°
Sites, in units of the cell vectors:
Cs: 0.0000 0.0000 0.0000
Hg: 0.3333 0.6667 0.4844
F: 0.6667 0.3333 0.1170

Output
**Density of states at the Fermi level**: 0.0 states/eV per cell
**Formation energy without anion corrections**: -1.62 eV/atom
**E**: -2.633 eV per atom
**Polymorph energy (0 for the lowest one)**: 93 meV/atom
**Symmetry**: P3m1, No. 156

---

This record from Alexandria describes MnFeSnPt2 after structural relaxation. The functional is PBE.

Cell: 4.9405 4.9405 4.7102 Å, 90.00 90.00 90.00°
Sites, in units of the cell vectors:
Mn: 0.0000 0.0000 0.0000
Fe: 0.5000 0.5000 0.0000
Sn: 0.5000 0.5000 0.5000
Pt: 0.0000 0.5000 0.5000
Pt: 0.5000 0.0000 0.5000

Output
**Density of states at the Fermi level**: 3.9 states/eV per cell
**E**: -5.664 eV per atom
**Symmetry**: P4/mmm, No. 123

---

This record from Alexandria describes AcTl6In after structural relaxation. The functional is PBE.

Cell: 7.3767 7.3767 4.4950 Å, 90.00 90.00 90.00°
Sites, in units of the cell vectors:
Ac: 0.0000 0.0000 0.0000
Tl: 0.0000 0.5000 0.0000
Tl: 0.2648 0.2648 0.5000
Tl: 0.2648 0.7352 0.5000
Tl: 0.5000 0.0000 0.0000
Tl: 0.7352 0.2648 0.5000
Tl: 0.7352 0.7352 0.5000
In: 0.5000 0.5000 0.0000

Output
**Density of states at the Fermi level**: 3.8 states/eV per cell
**E**: -2.738 eV per atom
**Symmetry**: P4/mmm, No. 123

---

This record from Alexandria describes La2CeDySe4 after structural relaxation. The functional is PBE.

Cell: 7.3243 4.2034 7.3496 Å, 90.00 109.18 90.00°
Sites, in units of the cell vectors:
La: 0.0000 0.0000 0.0000
La: 0.5000 0.5000 0.0000
Ce: 0.0000 0.5000 0.5000
Dy: 0.5000 0.0000 0.5000
Se: 0.2516 0.0000 0.7385
Se: 0.2604 0.5000 0.2654
Se: 0.7396 0.5000 0.7346
Se: 0.7484 0.0000 0.2615

Output
**Density of states at the Fermi level**: 9.1 states/eV per cell
**Formation energy without anion corrections**: -1.89 eV/atom
**E**: -6.184 eV per atom
**Symmetry**: P2/m, No. 10

---

This record from Alexandria describes Li2LaInP after structural relaxation. The functional is PBE.

Cell: 4.7003 4.7003 5.5239 Å, 90.00 90.00 90.00°
Sites, in units of the cell vectors:
Li: 0.0000 0.5000 0.0000
Li: 0.5000 0.0000 0.0000
La: 0.0000 0.0000 0.5000
In: 0.5000 0.5000 0.5000
P: 0.5000 0.5000 0.0000

Output
**Density of states at the Fermi level**: 4.6 states/eV per cell
**E**: -3.561 eV per atom
**Symmetry**: P4/mmm, No. 123

---

This record from Alexandria describes Rb2AlPO after structural relaxation. The functional is PBE.

Cell: 6.1897 6.1897 3.6741 Å, 90.00 90.00 90.00°
Sites, in units of the cell vectors:
Rb: 0.0000 0.5000 0.0000
Rb: 0.5000 0.0000 0.0000
Al: 0.0000 0.0000 0.5000
P: 0.5000 0.5000 0.5000
O: 0.5000 0.5000 0.0000

Output
**Density of states at the Fermi level**: 2.6 states/eV per cell
**Formation energy without anion corrections**: -0.13 eV/atom
**E**: -3.343 eV per atom
**Symmetry**: P4/mmm, No. 123